Model A:
Entry from Alexandria via LeMat-Bulk: a geometry-optimized ZnMoBr3 structure (PBE).

Cell and atoms, written as POSCAR:
```
ZnMoBr3
1.0
-3.785 3.667 -0.419
-3.489 -3.358 2.123
1.206 1.796 4.824
Mo Zn Br
1 1 3
direct
0.000 0.000 0.000
0.500 0.500 0.500
0.000 0.500 0.000
0.000 0.000 0.500
0.500 0.000 0.000
```

## Properties
Total magnetization (μB/f.u.): 3.00


Model B:
Entry from Alexandria via LeMat-Bulk: a geometry-optimized ZnMoBr3 structure (PBE).

Cell and atoms, written as POSCAR:
```
ZnMoBr3
1.0
5.171 0.000 0.000
0.000 5.171 0.000
0.000 0.000 5.171
Mo Zn Br
1 1 3
direct
0.500 0.500 0.500
0.000 0.000 0.000
0.000 0.500 0.000
0.000 0.000 0.500
0.500 0.000 0.000
```

## Properties
Total magnetization (μB/f.u.): 4.93


Result of the stability comparison: model B is the least stable of them.


Model A:
Entry from Alexandria via LeMat-Bulk: a geometry-optimized ZrMoBr2 structure (PBE).

Cell and atoms, written as POSCAR:
```
ZrMoBr2
1.0
-5.022 -3.006 0.084
-3.421 -3.779 2.878
-2.798 4.483 2.843
Mo Br Zr
1 2 1
direct
0.597 0.597 0.405
0.962 0.962 0.179
0.719 0.719 0.762
0.221 0.221 0.154
```

## Properties
Total magnetization (μB/f.u.): 0.00


Model B:
Entry from Alexandria via LeMat-Bulk: a geometry-optimized ZrMoBr2 structure (PBE).

Cell and atoms, written as POSCAR:
```
ZrMoBr2
1.0
3.283 0.014 0.000
-1.387 2.976 0.000
0.000 0.000 9.964
Mo Br Zr
1 2 1
direct
0.000 0.000 0.515
0.000 0.000 0.941
0.500 0.500 0.315
0.500 0.500 0.729
```

## Properties
Total magnetization (μB/f.u.): 0.00


Model C:
Entry from Alexandria via LeMat-Bulk: a geometry-optimized ZrMoBr2 structure (PBE).

Cell and atoms, written as POSCAR:
```
ZrMoBr2
1.0
6.225 0.000 0.000
0.000 6.225 0.000
3.112 3.112 5.223
Mo Br Zr
2 4 2
direct
0.000 0.000 0.000
0.750 0.250 0.500
0.647 0.125 0.250
0.103 0.625 0.250
0.375 0.353 0.750
0.875 0.897 0.750
0.500 0.500 0.000
0.250 0.750 0.500
```

## Properties
Total magnetization (μB/f.u.): 0.00


Result of the stability comparison: model C is the least stable of them.